Record 1
# CeNi5As2

A geometry-optimized CeNi5As2 structure (PBE, Alexandria).

Theoretical density = 8.38 Mg/m³
Crystal system = orthorhombic
Space group = Immm
ΔH_f (0 K) = -378 kJ/mol of formula units
D(E_F) = 1.2298 states/eV/atom

Cell lengths 3.8168, 5.9850, 5.9850 Å; angles 66.19, 71.41, 71.41 degrees
Last column: nearest neighbours and their distance in Å.
Fractional coordinates of all 8 atoms:
1 As 0.2463 0.2537 0.2537  7 Ni 2.28-2.48
2 Ce 0.0000 0.0000 0.0000  4 As 3.03, 10 Ni 3.07-3.27
3 Ni 0.6372 0.5500 0.1757  3 As 2.31-2.48, 2 Ni 2.45-2.54
4 Ni 0.3628 0.8243 0.4500  3 As 2.31-2.48, 2 Ni 2.45-2.54
5 As 0.7537 0.7463 0.7463  7 Ni 2.28-2.48
6 Ni 0.6372 0.1757 0.5500  3 As 2.31-2.48, 2 Ni 2.45-2.54
7 Ni 0.3628 0.4500 0.8243  3 As 2.31-2.48, 2 Ni 2.45-2.54
8 Ni 0.0000 0.5000 0.5000  2 As 2.28



Record 2
# KYReIr2

A geometry-optimized KYReIr2 structure (PBE, Alexandria).

Theoretical density = 9.03 Mg/m³
Crystal system = tetragonal
Space group = P4/mmm
ΔH_f (0 K) = 1088 kJ/mol of formula units
D(E_F) = 0.8548 states/eV/atom

Cell lengths 5.0034, 5.1336, 5.0034 Å; angles 90.00, 90.00, 90.00 degrees
Last column: nearest neighbours and their distance in Å.
Fractional coordinates of all 5 atoms:
1 Re 0.5000 0.5000 0.5000  4 K 3.54, 8 Ir 3.58
2 K 0.0000 0.5000 0.0000  2 Y 2.57
3 Y 0.0000 0.0000 0.0000  4 Ir 2.50, 2 K 2.57
4 Ir 0.0000 0.0000 0.5000  2 Y 2.50
5 Ir 0.5000 0.0000 0.0000  2 Y 2.50



Record 3
# RbTlInSn2

A geometry-optimized RbTlInSn2 structure (PBE, Alexandria).

Theoretical density = 6.11 Mg/m³
Crystal system = monoclinic
Space group = Cm
ΔH_f (0 K) = -49 kJ/mol of formula units
D(E_F) = 0.3857 states/eV/atom

Cell lengths 4.8521, 4.8829, 8.1245 Å; angles 107.47, 107.37, 90.00 degrees
Last column: nearest neighbours and their distance in Å.
Fractional coordinates of all 5 atoms:
1 Sn 0.0603 0.0594 0.1206  2 Sn 3.05, 2 In 3.11, 1 Tl 3.39
2 Sn 0.6860 0.1871 0.3719  2 Sn 3.05, 2 Tl 3.23
3 In 0.1911 0.6903 0.3823  6 Sn 3.11-3.45, 2 Tl 3.17
4 Tl 0.8299 0.8306 0.6599  2 In 3.17, 3 Sn 3.23-3.39
5 Rb 0.4448 0.4447 0.8896  4 Tl 3.83-3.84, 4 Sn 3.84



Record 4
# RbAg2Bi2

A geometry-optimized RbAg2Bi2 structure (PBE, Alexandria).

Theoretical density = 8.33 Mg/m³
Energy above the lowest structure with this stoichiometry = 9.25 kJ/mol of atoms
Crystal system = tetragonal
Space group = P4/mbm
ΔH_f (0 K) = -6 kJ/mol of formula units
D(E_F) = 0.2959 states/eV/atom

Cell lengths 9.2692, 9.2692, 3.3383 Å; angles 90.00, 90.00, 90.00 degrees
Last column: nearest neighbours and their distance in Å.
Fractional coordinates of all 10 atoms:
1 Rb 0.0000 0.0000 0.0000  2 Rb 3.34, 4 Ag 3.57
2 Ag 0.1416 0.3584 0.0000  6 Bi 3.16-3.22, 2 Ag 3.34
3 Rb 0.5000 0.5000 0.0000  2 Rb 3.34, 4 Ag 3.57
4 Bi 0.1484 0.6484 0.5000  6 Ag 3.16-3.22, 2 Bi 3.34
5 Bi 0.8516 0.3516 0.5000  6 Ag 3.16-3.22, 2 Bi 3.34
6 Ag 0.6416 0.1416 0.0000  6 Bi 3.16-3.22, 2 Ag 3.34
7 Ag 0.8584 0.6416 0.0000  6 Bi 3.16-3.22, 2 Ag 3.34
8 Ag 0.3584 0.8584 0.0000  6 Bi 3.16-3.22, 2 Ag 3.34
9 Bi 0.6484 0.8516 0.5000  6 Ag 3.16-3.22, 2 Bi 3.34
10 Bi 0.3516 0.1484 0.5000  6 Ag 3.16-3.22, 2 Bi 3.34



Record 5
# BaCa2IrPb

A geometry-optimized BaCa2IrPb structure (PBE, Alexandria).

Theoretical density = 6.08 Mg/m³
Crystal system = tetragonal
Space group = P4/mmm
ΔH_f (0 K) = -123 kJ/mol of formula units
D(E_F) = 0.6475 states/eV/atom

Cell lengths 5.5922, 5.5922, 5.3849 Å; angles 90.00, 90.00, 90.00 degrees
Last column: nearest neighbours and their distance in Å.
Fractional coordinates of all 5 atoms:
1 Pb 0.0000 0.0000 0.5000  2 Ir 2.69
2 Ca 0.0000 0.5000 0.0000  2 Ir 2.80
3 Ca 0.5000 0.0000 0.0000  2 Ir 2.80
4 Ba 0.5000 0.5000 0.5000  8 Ca 3.88, 4 Pb 3.95
5 Ir 0.0000 0.0000 0.0000  2 Pb 2.69, 4 Ca 2.80



Record 6
# BaCaTm4Se8

A geometry-optimized BaCaTm4Se8 structure (PBE, Alexandria).

Theoretical density = 5.51 Mg/m³
Formation energy from raw total energies = -1.80 eV/atom
Crystal system = trigonal
Space group = R3m
D(E_F) = 0.0000 states/eV/atom

Cell lengths 8.5176, 8.5176, 8.6523 Å; angles 60.51, 60.51, 60.00 degrees
Last column: nearest neighbours and their distance in Å.
Fractional coordinates of all 14 atoms:
1 Ca 0.0020 0.0020 0.9941  6 Se 2.91-3.05
2 Tm 0.4924 0.0023 0.5031  6 Se 2.75-2.99
3 Tm 0.0023 0.4924 0.5031  6 Se 2.75-2.99
4 Tm 0.0023 0.0023 0.5031  6 Se 2.75-2.99
5 Se 0.2394 0.2394 0.7182  2 Tm 2.75, 1 Ca 2.91, 1 Ba 3.00
6 Ba 0.3739 0.3739 0.8783  4 Se 3.00-3.02
7 Se 0.2308 0.7515 0.2662  3 Tm 2.74-2.96, 1 Ca 3.05
8 Se 0.7515 0.7515 0.2662  3 Tm 2.74-2.96, 1 Ca 3.05
9 Tm 0.6232 0.6232 0.1304  4 Se 2.74-2.84
10 Se 0.7515 0.2308 0.2662  3 Tm 2.74-2.96, 1 Ca 3.05
11 Se 0.2323 0.2323 0.3030  3 Tm 2.80, 1 Ba 3.02
12 Se 0.7561 0.7561 0.7317  4 Tm 2.84-2.99
13 Se 0.8031 0.2394 0.7182  2 Tm 2.75, 1 Ca 2.91, 1 Ba 3.00
14 Se 0.2394 0.8031 0.7182  2 Tm 2.75, 1 Ca 2.91, 1 Ba 3.00



Record 7
# LiTbEuRu

A geometry-optimized LiTbEuRu structure (PBE, Alexandria).

Theoretical density = 7.89 Mg/m³
Crystal system = cubic
Space group = F-43m
ΔH_f (0 K) = -26 kJ/mol of formula units
D(E_F) = 2.5850 states/eV/atom

Cell lengths 4.9956, 4.9956, 4.9956 Å; angles 60.00, 60.00, 60.00 degrees
Last column: nearest neighbours and their distance in Å.
Fractional coordinates of all 4 atoms:
1 Tb 0.7500 0.7500 0.7500  4 Li 3.06, 4 Ru 3.06
2 Eu 0.2500 0.2500 0.2500  4 Ru 3.06, 4 Li 3.06
3 Li 0.5000 0.5000 0.5000  4 Eu 3.06, 4 Tb 3.06
4 Ru 0.0000 0.0000 0.0000  4 Tb 3.06, 4 Eu 3.06



Record 8
# Er2Ga4Cu5

A geometry-optimized Er2Ga4Cu5 structure (PBE, Alexandria).

Theoretical density = 8.30 Mg/m³
Crystal system = orthorhombic
Space group = Fmmm
ΔH_f (0 K) = -304 kJ/mol of formula units
D(E_F) = 0.5728 states/eV/atom

Cell lengths 5.4826, 5.3541, 7.8808 Å; angles 79.74, 69.64, 59.20 degrees
Last column: nearest neighbours and their distance in Å.
Fractional coordinates of all 11 atoms:
1 Cu 0.7500 0.5000 0.5000  4 Ga 2.40
2 Ga 0.2176 0.3012 0.2636  5 Cu 2.39-2.55
3 Ga 0.5188 0.6988 0.2636  5 Cu 2.39-2.55
4 Er 0.1381 0.0000 0.7238  6 Ga 3.07-3.22, 10 Cu 3.15-3.42
5 Ga 0.4812 0.3012 0.7364  5 Cu 2.39-2.55
6 Ga 0.7824 0.6988 0.7364  5 Cu 2.39-2.55
7 Cu 0.5000 0.0000 0.0000  4 Ga 2.39
8 Er 0.8619 0.0000 0.2762  6 Ga 3.07-3.22, 10 Cu 3.15-3.42
9 Cu 0.5000 0.5000 0.0000  4 Ga 2.55, 4 Cu 2.68-2.74
10 Cu 0.0000 0.5000 0.0000  4 Ga 2.55, 4 Cu 2.68-2.74
11 Cu 0.2500 0.5000 0.5000  4 Ga 2.40



| no. | E (eV/atom) |
| --- | --- |
| 1 | -6.01 |
| 2 | -5.29 |
| 3 | -2.92 |
| 4 | -2.90 |
| 5 | -3.95 |
| 6 | -5.35 |
| 7 | -6.59 |
| 8 | -4.08 |